(1)
Entry from Alexandria: a relaxed structure of Tl3BPd (PBE).

Computed properties:
- Polymorph energy (0 for the lowest one): 5.71 kcal/mol of atoms
- ΔE_f: 972 meV per atom
- N(E_F): 3.812 states/eV/cell
- Electronic total energy: -2.822 eV/atom
- Symmetry: No. 221

Unit cell a=5.3102 b=5.3102 c=5.3102 alpha=90.00 beta=90.00 gamma=90.00
Last column: nearest neighbours and their distance in Å.
Element x y z (fractional)
Tl1 0.0000 0.0000 0.5000  2 Pd 2.66
Pd1 0.0000 0.0000 0.0000  6 Tl 2.66
B1 0.5000 0.5000 0.5000  12 Tl 3.75
Tl2 0.0000 0.5000 0.0000  2 Pd 2.66
Tl3 0.5000 0.0000 0.0000  2 Pd 2.66

---

(2)
Entry from Alexandria: a relaxed structure of ErTiGa5Ni2 (PBE).

Computed properties:
- ΔE_f: -247 meV per atom
- N(E_F): 5.214 states/eV/cell
- Electronic total energy: -4.597 eV/atom
- Symmetry: No. 123

Unit cell a=4.5820 b=4.5820 c=7.2250 alpha=90.00 beta=90.00 gamma=90.00
Last column: nearest neighbours and their distance in Å.
Element x y z (fractional)
Ga1 0.0000 0.5000 0.2176  2 Ni 2.32
Ga2 0.5000 0.0000 0.2176  2 Ni 2.32
Ti1 0.0000 0.0000 0.0000  8 Ga 2.78
Er1 0.0000 0.0000 0.5000  12 Ga 3.07-3.24
Ni1 0.5000 0.5000 0.8362  5 Ga 2.32-2.43, 1 Ni 2.37
Ga3 0.5000 0.5000 0.5000  2 Ni 2.43
Ga4 0.0000 0.5000 0.7824  2 Ni 2.32
Ni2 0.5000 0.5000 0.1638  5 Ga 2.32-2.43, 1 Ni 2.37
Ga5 0.5000 0.0000 0.7824  2 Ni 2.32

---

(3)
Entry from Alexandria: a relaxed structure of HgPtI2 (PBE).

Computed properties:
- ΔE_f (raw): -18.6 meV/atom
- Polymorph energy (0 for the lowest one): 0.00 kcal/mol of atoms
- N(E_F): 4.668 states/eV/cell
- Electronic total energy: -2.379 eV/atom
- Symmetry: No. 122

Unit cell a=10.0793 b=10.0793 c=7.6254 alpha=48.63 beta=48.63 gamma=90.00
Last column: nearest neighbours and their distance in Å.
Element x y z (fractional)
Hg1 0.7500 0.2500 0.5000  2 Pt 2.71
I1 0.2817 0.6250 0.2500  2 Pt 2.77
I2 0.3750 0.5317 0.7500  2 Pt 2.77
Hg2 0.0000 0.0000 0.0000  2 Pt 2.71
I3 0.4683 0.1250 0.2500  2 Pt 2.77
I4 0.8750 0.7183 0.7500  2 Pt 2.77
Pt1 0.5000 0.5000 0.0000  2 Hg 2.71, 4 I 2.77
Pt2 0.2500 0.7500 0.5000  2 Hg 2.71, 4 I 2.77

---

(4)
Entry from Alexandria: a relaxed structure of GaTeI2 (PBE).

Computed properties:
- ΔE_f (raw): -261.7 meV/atom
- Polymorph energy (0 for the lowest one): 0.00 kcal/mol of atoms
- N(E_F): 1.428 states/eV/cell
- Electronic total energy: -2.579 eV/atom
- Symmetry: No. 5

Unit cell a=4.2320 b=6.6826 c=6.6826 alpha=62.84 beta=108.26 gamma=108.26
Last column: nearest neighbours and their distance in Å.
Element x y z (fractional)
I1 0.5676 0.5056 0.6268  1 Ga 2.62
Te1 0.2500 0.1795 0.3205  2 Ga 2.69
I2 0.9324 0.8733 0.9944  1 Ga 2.62
Ga1 0.7500 0.9416 0.5584  2 I 2.62, 2 Te 2.69

---

(5)
Entry from Alexandria: a relaxed structure of LiPuH6Pt2 (PBE).

Computed properties:
- N(E_F): 12.256 states/eV/cell
- Electronic total energy: -5.180 eV/atom
- Symmetry: No. 166

Unit cell a=4.4736 b=4.4736 c=5.8392 alpha=67.48 beta=67.48 gamma=60.00
Last column: nearest neighbours and their distance in Å.
Element x y z (fractional)
Pu1 0.0000 0.0000 0.0000  12 H 2.46
H1 0.4470 0.9120 0.1940  1 Pt 1.67
H2 0.0880 0.5530 0.8060  1 Pt 1.67
H3 0.5530 0.5530 0.8060  1 Pt 1.67
H4 0.5530 0.0880 0.8060  1 Pt 1.67
Pt1 0.7908 0.7908 0.6275  3 H 1.67
H5 0.9120 0.4470 0.1940  1 Pt 1.67
H6 0.4470 0.4470 0.1940  1 Pt 1.67
Li1 0.5000 0.5000 0.5000  6 H 2.00
Pt2 0.2092 0.2092 0.3725  3 H 1.67

---

(6)
Entry from Alexandria: a relaxed structure of Cd2IrCl (PBE).

Computed properties:
- ΔE_f (raw): 84.6 meV/atom
- Polymorph energy (0 for the lowest one): 4.91 kcal/mol of atoms
- N(E_F): 3.043 states/eV/cell
- Electronic total energy: -3.050 eV/atom
- Symmetry: No. 8

Unit cell a=5.4442 b=5.4442 c=4.8100 alpha=95.50 beta=95.50 gamma=33.35
Last column: nearest neighbours and their distance in Å.
Element x y z (fractional)
Cd1 0.9810 0.9810 0.9279  3 Ir 2.75-3.01, 4 Cl 2.89-2.95
Cd2 0.2683 0.2683 0.3101  3 Cl 2.78-3.03, 4 Ir 2.86-2.98
Cl1 0.5336 0.5336 0.4480  1 Ir 2.47
Ir1 0.7172 0.7172 0.8140  1 Cl 2.47, 1 Cd 2.75